Entry 1:
! PBE Pr3HoB2N6, optimized geometry; values from VASP
&SYSTEM
  ibrav = 0, nat = 12, ntyp = 4
/
ATOMIC_SPECIES
N 14.01 N.upf
Pr 140.91 Pr.upf
B 10.81 B.upf
Ho 164.93 Ho.upf
CELL_PARAMETERS angstrom
5.638 0.000 0.000
-2.819 4.883 0.000
0.000 0.000 6.389
ATOMIC_POSITIONS crystal
N 0.631 0.815 0.276
N 0.185 0.815 0.276
Pr 0.667 0.333 0.338
B 0.333 0.667 0.251
N 0.185 0.369 0.276
Pr 0.333 0.667 0.662
N 0.815 0.631 0.724
Pr 0.000 0.000 0.000
Ho 0.000 0.000 0.500
N 0.815 0.185 0.724
N 0.369 0.185 0.724
B 0.667 0.333 0.749
! Raw formation energy in eV per atom: -1.17

=====

Entry 2:
! PBE Sm3HoB2N6, optimized geometry; values from VASP
&SYSTEM
  ibrav = 0, nat = 12, ntyp = 4
/
ATOMIC_SPECIES
N 14.01 N.upf
B 10.81 B.upf
Sm 150.36 Sm.upf
Ho 164.93 Ho.upf
CELL_PARAMETERS angstrom
-1.351 3.983 3.678
2.316 -4.766 1.769
5.683 2.522 -0.644
ATOMIC_POSITIONS crystal
N 0.368 0.184 0.728
B 0.333 0.667 0.245
N 0.184 0.816 0.272
Sm 0.333 0.667 0.661
N 0.816 0.632 0.728
N 0.632 0.816 0.272
Sm 0.000 0.000 0.000
N 0.184 0.368 0.272
B 0.667 0.333 0.755
N 0.816 0.184 0.728
Ho 0.000 0.000 0.500
Sm 0.667 0.333 0.339
! Raw formation energy in eV per atom: -1.18

=====

Entry 3:
! PBE NaHoBO5, optimized geometry; values from VASP
&SYSTEM
  ibrav = 0, nat = 16, ntyp = 4
/
ATOMIC_SPECIES
Na 22.99 Na.upf
O 16.00 O.upf
B 10.81 B.upf
Ho 164.93 Ho.upf
CELL_PARAMETERS angstrom
6.918 0.000 0.000
0.000 4.608 -0.041
0.000 2.095 5.829
ATOMIC_POSITIONS crystal
Na 0.000 0.500 0.500
O 0.750 0.026 0.478
B 0.750 0.846 0.720
O 0.078 0.075 0.170
O 0.922 0.925 0.830
O 0.422 0.075 0.170
Ho 0.250 0.864 0.913
O 0.250 0.475 0.254
Na 0.500 0.500 0.500
O 0.750 0.606 0.172
B 0.250 0.154 0.280
O 0.578 0.925 0.830
O 0.250 0.974 0.522
O 0.750 0.525 0.746
O 0.250 0.394 0.828
Ho 0.750 0.136 0.087
! Raw formation energy in eV per atom: -1.93

=====

Entry 4:
! PBE Na2HoB2O6, optimized geometry; values from VASP
&SYSTEM
  ibrav = 0, nat = 11, ntyp = 4
/
ATOMIC_SPECIES
O 16.00 O.upf
Na 22.99 Na.upf
B 10.81 B.upf
Ho 164.93 Ho.upf
CELL_PARAMETERS angstrom
5.323 0.000 0.000
-2.662 4.610 0.000
0.000 0.000 6.156
ATOMIC_POSITIONS crystal
O 0.105 0.386 0.785
Na 0.333 0.667 0.341
O 0.281 0.895 0.785
B 0.333 0.667 0.792
Na 0.667 0.333 0.659
B 0.667 0.333 0.208
O 0.895 0.614 0.215
O 0.614 0.719 0.785
O 0.386 0.281 0.215
O 0.719 0.105 0.215
Ho 0.000 0.000 0.000
! Raw formation energy in eV per atom: -2.38

=====

Entry 5:
! PBE HoNbB, optimized geometry; values from VASP
&SYSTEM
  ibrav = 0, nat = 6, ntyp = 3
/
ATOMIC_SPECIES
Nb 92.91 Nb.upf
Ho 164.93 Ho.upf
B 10.81 B.upf
CELL_PARAMETERS angstrom
3.591 0.000 0.000
1.795 3.110 0.000
1.795 1.037 10.335
ATOMIC_POSITIONS crystal
Nb 0.136 0.136 0.593
Ho 0.612 0.612 0.163
Ho 0.388 0.388 0.837
B 0.228 0.228 0.315
B 0.772 0.772 0.685
Nb 0.864 0.864 0.407
! Energy of formation in eV per atom: -0.1513

=====

Entry 6:
! PBE Ho2NbB6, optimized geometry; values from VASP
&SYSTEM
  ibrav = 0, nat = 9, ntyp = 3
/
ATOMIC_SPECIES
B 10.81 B.upf
Nb 92.91 Nb.upf
Ho 164.93 Ho.upf
CELL_PARAMETERS angstrom
2.928 0.000 0.895
1.135 5.845 1.524
-0.266 -0.600 6.111
ATOMIC_POSITIONS crystal
B 0.000 0.764 0.236
B 0.000 0.236 0.764
B 0.807 0.447 0.938
B 0.807 0.938 0.447
Nb 0.500 0.500 0.500
B 0.193 0.062 0.553
B 0.193 0.553 0.062
Ho 0.649 0.851 0.851
Ho 0.351 0.149 0.149
! Energy of formation in eV per atom: 0.1202

=====

Entry 7:
! PBE HoNb2B6, optimized geometry; values from VASP
&SYSTEM
  ibrav = 0, nat = 9, ntyp = 3
/
ATOMIC_SPECIES
Nb 92.91 Nb.upf
B 10.81 B.upf
Ho 164.93 Ho.upf
CELL_PARAMETERS angstrom
3.490 0.000 0.000
0.000 4.733 -2.733
0.000 0.000 5.465
ATOMIC_POSITIONS crystal
Nb 0.000 0.333 0.667
B 0.500 0.338 0.338
Ho 0.000 0.000 0.000
B 0.500 0.662 0.662
Nb 0.000 0.667 0.333
B 0.500 0.000 0.338
B 0.500 0.000 0.662
B 0.500 0.662 0.000
B 0.500 0.338 0.000
! Relative energy among the computed polymorphs in kJ per mole of atoms: 0.00
! Energy of formation in eV per atom: -0.7188

=====

Entry 8:
! PBE HoNb2B6, optimized geometry; values from VASP
&SYSTEM
  ibrav = 0, nat = 9, ntyp = 3
/
ATOMIC_SPECIES
B 10.81 B.upf
Ho 164.93 Ho.upf
Nb 92.91 Nb.upf
CELL_PARAMETERS angstrom
-1.141 2.959 -0.511
-5.597 -0.132 1.634
0.136 2.689 5.173
ATOMIC_POSITIONS crystal
B 0.000 0.158 0.842
B 0.804 0.433 0.960
B 0.804 0.960 0.433
B 0.196 0.567 0.040
Ho 0.500 0.500 0.500
Nb 0.339 0.161 0.161
B 0.196 0.040 0.567
B 0.000 0.842 0.158
Nb 0.661 0.839 0.839
! Relative energy among the computed polymorphs in kJ per mole of atoms: 19.21
! Energy of formation in eV per atom: -0.5197

=====

Entry 9:
! PBE NdHoB, optimized geometry; values from VASP
&SYSTEM
  ibrav = 0, nat = 12, ntyp = 3
/
ATOMIC_SPECIES
Nd 144.24 Nd.upf
Ho 164.93 Ho.upf
B 10.81 B.upf
CELL_PARAMETERS angstrom
5.430 0.000 0.000
2.715 8.358 0.000
2.715 0.000 5.897
ATOMIC_POSITIONS crystal
Nd 0.554 0.169 0.722
Ho 0.321 0.620 0.738
Ho 0.059 0.620 0.262
Nd 0.276 0.169 0.278
Nd 0.724 0.831 0.722
B 0.948 0.103 0.000
B 0.131 0.000 0.738
Ho 0.941 0.380 0.738
Ho 0.679 0.380 0.262
Nd 0.446 0.831 0.278
B 0.869 0.000 0.262
B 0.052 0.897 0.000
! Energy of formation in eV per atom: 0.1719

=====

Entry 10:
! PBE NdHo2B6, optimized geometry; values from VASP
&SYSTEM
  ibrav = 0, nat = 9, ntyp = 3
/
ATOMIC_SPECIES
B 10.81 B.upf
Nd 144.24 Nd.upf
Ho 164.93 Ho.upf
CELL_PARAMETERS angstrom
3.943 0.000 0.000
0.000 4.960 -2.864
0.000 0.000 5.727
ATOMIC_POSITIONS crystal
B 0.500 0.339 0.339
B 0.500 0.000 0.339
B 0.500 0.661 0.661
Nd 0.000 0.000 0.000
B 0.500 0.661 0.000
B 0.500 0.000 0.661
B 0.500 0.339 0.000
Ho 0.000 0.333 0.667
Ho 0.000 0.667 0.333
! Energy of formation in eV per atom: -0.4771

=====

Entry 11:
! PBE HoNi2B2, optimized geometry; values from VASP
&SYSTEM
  ibrav = 0, nat = 10, ntyp = 3
/
ATOMIC_SPECIES
B 10.81 B.upf
Ni 58.69 Ni.upf
Ho 164.93 Ho.upf
CELL_PARAMETERS angstrom
4.948 -0.007 0.002
2.161 4.451 0.002
3.491 2.182 5.486
ATOMIC_POSITIONS crystal
B 0.155 0.505 0.524
B 0.505 0.155 0.024
B 0.845 0.495 0.476
Ni 0.467 0.279 0.700
Ho 0.118 0.882 0.750
Ho 0.882 0.118 0.250
Ni 0.533 0.721 0.300
Ni 0.721 0.533 0.800
Ni 0.279 0.467 0.200
B 0.495 0.845 0.976
! Energy of formation in eV per atom: -0.5664

=====

Entry 12:
! PBE Ho4Ni13B4, optimized geometry; values from VASP
&SYSTEM
  ibrav = 0, nat = 21, ntyp = 3
/
ATOMIC_SPECIES
Ni 58.69 Ni.upf
B 10.81 B.upf
Ho 164.93 Ho.upf
CELL_PARAMETERS angstrom
3.881 0.000 0.000
0.000 8.515 -0.173
0.000 0.024 8.516
ATOMIC_POSITIONS crystal
Ni 0.000 0.500 0.000
Ni 0.500 0.424 0.213
B 0.500 0.500 0.000
Ni 0.500 0.080 0.710
Ni 0.500 0.920 0.290
Ni 0.500 0.710 0.080
Ni 0.500 0.787 0.576
Ni 0.500 0.500 0.500
Ni 0.500 0.290 0.920
Ni 0.000 0.377 0.377
B 0.500 0.065 0.935
Ni 0.500 0.213 0.424
Ho 0.000 0.310 0.690
Ni 0.500 0.576 0.787
Ho 0.000 0.690 0.310
B 0.500 0.935 0.065
B 0.500 0.000 0.500
Ho 0.000 0.849 0.849
Ho 0.000 0.151 0.151
Ni 0.000 0.000 0.500
Ni 0.000 0.623 0.623
! Energy of formation in eV per atom: -0.3909